Entry from Alexandria: a relaxed structure of SrNdMg17 (PBE-GGA).

Cell lengths 7.8864, 7.8864, 7.8864 Å; angles 82.50, 82.50, 82.50 degrees
Last column: nearest neighbours and their distance in Å.
Atoms (fractional coordinates):
Mg (0.6462, 0.6462, 0.1648)  8 Mg 2.98-3.22
Mg (0.3481, 0.3481, 0.8480)  9 Mg 2.98-3.25
Mg (0.0004, 0.5003, 0.0004)  10 Mg 3.00-3.18
Mg (0.2984, 0.6995, 0.0023)  8 Mg 3.00-3.22
Mg (0.0023, 0.6995, 0.2984)  8 Mg 3.00-3.22
Mg (0.1003, 0.1003, 0.1003)  7 Mg 3.04-3.25
Mg (0.6995, 0.0023, 0.2984)  8 Mg 3.00-3.22
Mg (0.6995, 0.2984, 0.0023)  8 Mg 3.00-3.22
Mg (0.8480, 0.3481, 0.3481)  9 Mg 2.98-3.25
Mg (0.1648, 0.6462, 0.6462)  8 Mg 2.98-3.22
Mg (0.0023, 0.2984, 0.6995)  8 Mg 3.00-3.22
Mg (0.0004, 0.0004, 0.5003)  10 Mg 3.00-3.18
Mg (0.3481, 0.8480, 0.3481)  9 Mg 2.98-3.25
Mg (0.2984, 0.0023, 0.6995)  8 Mg 3.00-3.22
Mg (0.6462, 0.1648, 0.6462)  8 Mg 2.98-3.22
Mg (0.5003, 0.0004, 0.0004)  10 Mg 3.00-3.18
Mg (0.9022, 0.9022, 0.9022)  7 Mg 3.04-3.36
Sr (0.6639, 0.6639, 0.6639)  19 Mg 3.65-3.98
Nd (0.3309, 0.3309, 0.3309)  16 Mg 3.54-3.92

Output
Energy relative to the elements (eV per atom): -0.0545
ρ (Mg/m³): 2.24
Symmetry: R3m
Fermi-level density of states (states/eV/atom): 0.47
Crystal system: trigonal